Density functional theory data (PBE) for a relaxed structure of Be2BMoRu.

DFT formation energy in eV per atom: 0.30

Cell lengths 3.7016, 3.7016, 4.1881 Å; angles 90.00, 90.00, 90.00 degrees
Closest atoms and distances in Å follow each position.
Space group P4/mmm (No. 123)
One atom of each set of equivalent atoms:
Be 0.0000 0.5000 0.0000  2 B 1.85
B 0.0000 0.0000 0.0000  4 Be 1.85
Mo 0.0000 0.0000 0.5000  2 B 2.09
Ru 0.5000 0.5000 0.5000  4 Mo 2.62, 8 Be 2.79